! Pm5Pr3Dy4 (PBE, relaxed); values from VASP
! **Fermi-level density of states**: 16.3 states/eV per cell
! **Formation energy from the elements**: 0.01 eV/atom
! **V**: 406 Å³/cell
! **Offset from the most stable computed form**: 0.0 meV per atom
! **Uncorrected energy**: -4.69 eV per atom
&SYSTEM
  ibrav = 0, nat = 12, ntyp = 3
/
ATOMIC_SPECIES
Pm 145.00 Pm.upf
Pr 140.91 Pr.upf
Dy 162.50 Dy.upf
CELL_PARAMETERS angstrom
6.292 0.000 0.000
-0.007 7.254 0.000
-0.006 -0.012 8.893
ATOMIC_POSITIONS crystal
Pm 0.000 0.000 0.000
Pm 0.334 0.500 0.335
Pm 0.499 0.752 0.000
Pm 0.501 0.248 0.000
Pm 0.666 0.500 0.665
Pr 0.000 0.500 0.000
Pr 0.166 0.247 0.665
Pr 0.834 0.753 0.335
Dy 0.168 0.752 0.665
Dy 0.334 0.001 0.335
Dy 0.666 0.999 0.665
Dy 0.832 0.248 0.335

! K3Tl3VI8 (PBE, relaxed); values from VASP
! **V**: 695 Å³/cell
! **Uncorrected energy**: -3.05 eV per atom
&SYSTEM
  ibrav = 0, nat = 15, ntyp = 4
/
ATOMIC_SPECIES
K 39.10 K.upf
Tl 204.38 Tl.upf
V 50.94 V.upf
I 126.90 I.upf
CELL_PARAMETERS angstrom
4.975 2.872 8.110
-4.975 2.872 8.110
0.000 -5.745 8.110
ATOMIC_POSITIONS crystal
K 0.000 0.500 0.500
K 0.500 0.000 0.500
K 0.500 0.500 0.000
Tl 0.000 0.000 0.500
Tl 0.000 0.500 0.000
Tl 0.500 0.000 0.000
V 0.000 0.000 0.000
I 0.206 0.793 0.793
I 0.207 0.207 0.794
I 0.207 0.794 0.207
I 0.251 0.251 0.251
I 0.749 0.749 0.749
I 0.793 0.206 0.793
I 0.793 0.793 0.206
I 0.794 0.207 0.207

! RbLiCl (PBE, relaxed); values from VASP
! **Fermi-level density of states**: 5.2 states/eV per cell
! **V**: 496 Å³/cell
! **Offset from the most stable computed form**: 16.5 meV per atom
! **Uncorrected energy**: -2.68 eV per atom
&SYSTEM
  ibrav = 0, nat = 12, ntyp = 3
/
ATOMIC_SPECIES
Rb 85.47 Rb.upf
Li 6.94 Li.upf
Cl 35.45 Cl.upf
CELL_PARAMETERS angstrom
7.568 0.000 0.000
0.000 4.338 0.000
-3.083 0.000 15.122
ATOMIC_POSITIONS crystal
Rb 0.111 0.000 0.359
Rb 0.389 0.500 0.641
Rb 0.611 0.500 0.359
Rb 0.889 0.000 0.641
Li 0.195 0.500 0.071
Li 0.305 0.000 0.929
Li 0.695 0.000 0.071
Li 0.805 0.500 0.929
Cl 0.129 0.500 0.910
Cl 0.371 0.000 0.090
Cl 0.629 0.000 0.910
Cl 0.871 0.500 0.090

! Ni3MoI (PBE, relaxed); values from VASP
! **Fermi-level density of states**: 8.1 states/eV per cell
! **V**: 98 Å³/cell
! **Offset from the most stable computed form**: 0.0 meV per atom
! **Uncorrected energy**: -4.58 eV per atom
&SYSTEM
  ibrav = 0, nat = 5, ntyp = 3
/
ATOMIC_SPECIES
Ni 58.69 Ni.upf
Mo 95.94 Mo.upf
I 126.90 I.upf
CELL_PARAMETERS angstrom
4.608 0.000 0.000
0.000 4.608 0.000
0.000 0.000 4.608
ATOMIC_POSITIONS crystal
Ni 0.000 0.000 0.500
Ni 0.000 0.500 0.000
Ni 0.500 0.000 0.000
Mo 0.000 0.000 0.000
I 0.500 0.500 0.500